(1)
Density functional theory data (meta-GGA SCAN) for Co2Re2I at its PBEsol-relaxed geometry.

```
Co2Re2I
1.0
-0.713 1.399 3.044
-2.738 -2.037 0.295
5.328 -4.106 1.209
Co I Re
2 1 2
Direct
0.250 0.750 0.500
0.750 0.250 0.500
0.000 0.000 0.000
0.617 0.617 0.234
0.383 0.383 0.766
```

Output
SG ... I4/mmm, No. 139
E_form (uncorrected) ... 24.9 kcal/mol of atoms


(2)
Density functional theory data (meta-GGA SCAN) for K2MgCo at its PBEsol-relaxed geometry.

```
K2MgCo
1.0
-1.789 -3.746 -2.053
4.080 -0.928 -1.864
1.309 -3.019 4.368
Mg Co K
1 1 2
Direct
0.500 0.000 0.500
0.000 0.500 0.500
0.500 0.500 0.000
0.000 0.000 0.000
```

Output
SG ... Pmmm, No. 47
DFT formation energy ... 716 meV per atom


(3)
Density functional theory data (meta-GGA SCAN) for Cs2TlSb2 at its PBEsol-relaxed geometry.

```
Cs2TlSb2
1.0
6.132 0.000 0.000
0.000 8.130 0.000
0.000 0.000 8.130
Cs Tl Sb
4 2 4
Direct
0.500 0.671 0.829
0.500 0.171 0.671
0.500 0.829 0.329
0.500 0.329 0.171
0.000 0.000 0.000
0.000 0.500 0.500
0.000 0.124 0.376
0.000 0.876 0.624
0.000 0.624 0.124
0.000 0.376 0.876
```

Output
SG ... P4/mbm, No. 127
E_form (uncorrected) ... -7.9 kcal/mol of atoms


(4)
Density functional theory data (meta-GGA SCAN) for ZnInSe at its PBEsol-relaxed geometry.

```
ZnInSe
1.0
-3.381 -0.884 -0.653
1.185 -1.100 3.166
-0.639 5.896 1.098
Zn Se In
1 1 1
Direct
0.317 0.317 0.634
0.686 0.686 0.372
0.997 0.997 0.994
```

Output
SG ... Fmm2, No. 42
E_form (uncorrected) ... -1.5 kcal/mol of atoms


(5)
Density functional theory data (meta-GGA SCAN) for SrCd2Br at its PBEsol-relaxed geometry.

```
SrCd2Br
1.0
5.526 0.000 0.000
2.763 4.786 0.000
2.763 1.595 4.512
Br Cd Sr
1 2 1
Direct
0.000 0.000 0.000
0.250 0.250 0.250
0.750 0.750 0.750
0.500 0.500 0.500
```

Output
SG ... Fm-3m, No. 225
E_form (uncorrected) ... -7.4 kcal/mol of atoms


(6)
Density functional theory data (meta-GGA SCAN) for Fe4ReOs at its PBEsol-relaxed geometry.

```
Fe4ReOs
1.0
4.594 0.000 0.000
2.297 3.978 0.000
2.297 1.326 3.751
Fe Os Re
4 1 1
Direct
0.376 0.873 0.376
0.873 0.376 0.376
0.376 0.376 0.873
0.376 0.376 0.376
0.750 0.750 0.750
0.000 0.000 0.000
```

Output
SG ... F-43m, No. 216
DFT formation energy ... 101 meV per atom


(7)
Density functional theory data (meta-GGA SCAN) for Ni6OsPt at its PBEsol-relaxed geometry.

```
Ni6OsPt
1.0
-6.125 0.144 -0.867
2.223 -5.437 -1.946
-1.399 -3.877 9.235
Ni Pt Os
24 4 4
Direct
0.122 0.370 0.127
0.120 0.372 0.377
0.000 0.000 0.500
0.753 0.247 0.255
0.500 0.500 0.500
0.630 0.878 0.873
0.628 0.880 0.623
0.370 0.122 0.127
0.628 0.880 0.377
0.120 0.372 0.623
0.370 0.122 0.873
0.000 0.000 0.000
0.372 0.120 0.623
0.880 0.628 0.377
0.247 0.753 0.255
0.372 0.120 0.377
0.880 0.628 0.623
0.247 0.753 0.745
0.122 0.370 0.873
0.878 0.630 0.873
0.753 0.247 0.745
0.630 0.878 0.127
0.878 0.630 0.127
0.500 0.500 0.000
0.253 0.747 0.000
0.500 0.500 0.750
0.500 0.500 0.250
0.747 0.253 0.000
0.250 0.750 0.500
0.000 0.000 0.754
0.000 0.000 0.246
0.750 0.250 0.500
```

Output
SG ... Cmmm, No. 65
DFT formation energy ... 56 meV per atom


(8)
Density functional theory data (meta-GGA SCAN) for Li2FeSi at its PBEsol-relaxed geometry.

```
Li2FeSi
1.0
-1.143 2.452 1.014
-0.945 -1.408 2.339
5.228 1.253 2.866
Li Fe Si
2 1 1
Direct
0.500 0.500 0.271
0.000 0.000 0.968
0.500 0.500 0.714
0.000 0.000 0.547
```

Output
SG ... P4mm, No. 99
E_form (uncorrected) ... 0.8 kcal/mol of atoms


(9)
Density functional theory data (meta-GGA SCAN) for YHg2Pd at its PBEsol-relaxed geometry.

```
YHg2Pd
1.0
-3.796 -2.911 -0.746
0.519 -4.026 -2.640
-0.181 -4.339 2.141
Hg Y Pd
2 1 1
Direct
0.750 0.750 0.750
0.250 0.250 0.250
0.000 0.000 0.000
0.500 0.500 0.500
```

Output
SG ... Fm-3m, No. 225
DFT formation energy ... -596 meV per atom


(10)
Density functional theory data (meta-GGA SCAN) for Mg2CdNi at its PBEsol-relaxed geometry.

```
Mg2CdNi
1.0
3.972 0.000 0.000
0.000 3.972 0.000
-1.986 -1.986 4.203
Mg Cd Ni
2 1 1
Direct
0.000 0.000 0.000
0.750 0.250 0.500
0.250 0.750 0.500
0.500 0.500 0.000
```

Output
SG ... I-4m2, No. 119
DFT formation energy ... -97 meV per atom


(11)
Density functional theory data (meta-GGA SCAN) for ScBe2 at its PBEsol-relaxed geometry.

```
ScBe2
1.0
4.745 0.000 0.000
2.372 4.109 0.000
2.372 1.370 3.874
Be Sc
4 2
Direct
0.625 0.125 0.125
0.125 0.125 0.625
0.125 0.125 0.125
0.125 0.625 0.125
0.500 0.500 0.500
0.750 0.750 0.750
```

Output
SG ... Fd-3m, No. 227
DFT formation energy ... -80 meV per atom


(12)
Density functional theory data (meta-GGA SCAN) for Be4CdCl at its PBEsol-relaxed geometry.

```
Be4CdCl
1.0
-1.911 3.935 -1.831
-4.708 0.562 -0.020
-2.017 3.205 2.853
Be Cd Cl
4 1 1
Direct
0.621 0.621 0.136
0.621 0.136 0.621
0.136 0.621 0.621
0.621 0.621 0.621
0.250 0.250 0.250
0.000 0.000 0.000
```

Output
SG ... F-43m, No. 216
E_form (uncorrected) ... 12.9 kcal/mol of atoms


(13)
Density functional theory data (meta-GGA SCAN) for YIF2 at its PBEsol-relaxed geometry.

```
YIF2
1.0
3.504 0.000 0.000
1.752 3.034 0.000
1.752 1.011 9.843
I F Y
1 2 1
Direct
0.500 0.500 0.500
0.068 0.068 0.797
0.932 0.932 0.203
0.000 0.000 0.000
```

Output
SG ... R-3m, No. 166
E_form (uncorrected) ... -39.6 kcal/mol of atoms


Number 1: raw total energy -41.6295 eV per atom, theoretical density 13.671 g cm⁻³. Number 2: raw total energy -9.0176 eV per atom, theoretical density 2.311 g cm⁻³. Number 3: raw total energy -44.8410 eV per atom, theoretical density 5.847 g cm⁻³. Number 4: raw total energy -22.3911 eV per atom, theoretical density 6.517 g cm⁻³. Number 5: raw total energy -25.9634 eV per atom, theoretical density 5.460 g cm⁻³. Number 6: raw total energy -35.8152 eV per atom, theoretical density 14.532 g cm⁻³. Number 7: raw total energy -29.8329 eV per atom, theoretical density 13.409 g cm⁻³. Number 8: raw total energy -8.1986 eV per atom, theoretical density 3.194 g cm⁻³. Number 9: raw total energy -49.8336 eV per atom, theoretical density 12.342 g cm⁻³. Number 10: raw total energy -14.2311 eV per atom, theoretical density 5.504 g cm⁻³. Number 11: raw total energy -7.7284 eV per atom, theoretical density 2.769 g cm⁻³. Number 12: raw total energy -8.7396 eV per atom, theoretical density 4.051 g cm⁻³. Number 13: raw total energy -19.6325 eV per atom, theoretical density 4.028 g cm⁻³.